The following is a GGA+U calculation of a geometry-optimized Be3NiF structure, from Alexandria.

offset from the most stable computed form	0.492	eV per atom
SG	Pm-3m
uncorrected energy	-12.6	eV per cell
total magnetization	0.00	Bohr magnetons per cell

The structure in extended XYZ format:
```
5
Lattice="-2.063 3.405 -0.400 -2.546 -1.834 -2.483 -2.296 -1.025 3.113" Properties=species:S:1:pos:R:3 pbc="T T T"
Ni 0.000 0.000 0.000
Be -1.031 1.703 -0.200
Be -1.273 -0.917 -1.241
Be -1.148 -0.513 1.556
F -3.453 0.273 0.115
```